[1]
A plane-wave DFT calculation with PBE was carried out for a relaxed structure of Sm4PBr5.

Crystal system: monoclinic
Total DFT energy (no corrections): -4.927 eV per atom
Symmetry: C2/m (12)

abc: 9.398 9.398 8.476
angles: 102.90 102.90 25.00
Atoms (fractional coordinates):
Br: 0.172 0.172 0.835
Br: 0.166 0.166 0.337
Br: 0.834 0.834 0.663
Br: 0.500 0.500 0.500
Br: 0.828 0.828 0.165
Sm: 0.000 0.000 0.218
Sm: 0.350 0.350 0.920
Sm: 0.000 0.000 0.782
Sm: 0.650 0.650 0.080
P: 0.500 0.500 0.000

***

[2]
A plane-wave DFT calculation with PBE was carried out for a relaxed structure of LuCuPbSe3.

Crystal system: monoclinic
Total DFT energy (no corrections): -4.713 eV per atom
Symmetry: P2_1/m (11)

abc: 7.796 4.020 9.910
angles: 90.00 106.44 90.00
Atoms (fractional coordinates):
Lu: 0.692 0.250 0.662
Lu: 0.308 0.750 0.338
Se: 0.258 0.750 0.047
Se: 0.944 0.750 0.669
Se: 0.742 0.250 0.953
Se: 0.572 0.250 0.364
Se: 0.428 0.750 0.636
Se: 0.056 0.250 0.331
Cu: 0.078 0.250 0.087
Cu: 0.922 0.750 0.913
Pb: 0.749 0.750 0.199
Pb: 0.251 0.250 0.801

***

| no. | M_tot (Bohr magnetons per cell) |
| --- | --- |
| 1 | 0.01 |
| 2 | 0.00 |